Entry 1:
A PBEsol-optimized structure of SrCa7. Source: Alexandria via LeMat-Bulk, functional SCAN.

Summary:
ΔH_f (0 K) = 13 meV/atom
Space-group type = Fm-3m, No. 225
M_tot = 1.257 Bohr magnetons per cell

Structure (POSCAR):
```
SrCa7
1.0
7.7880 0.0000 0.0000
3.8940 6.7446 0.0000
3.8940 2.2482 6.3589
Ca Sr
7 1
Direct
0.5000 0.5000 0.0000
0.5000 0.0000 0.5000
0.0000 0.5000 0.0000
0.5000 0.5000 0.5000
0.0000 0.5000 0.5000
0.5000 0.0000 0.0000
0.0000 0.0000 0.5000
0.0000 0.0000 0.0000
```

Entry 2:
A PBEsol-optimized structure of TlCu2Ag. Source: Alexandria via LeMat-Bulk, functional SCAN.

Summary:
ΔH_f (0 K) = 248 meV/atom
Space-group type = Pmmm, No. 47
M_tot = 0.000 Bohr magnetons per cell

Structure (POSCAR):
```
TlCu2Ag
1.0
-1.9767 2.3624 0.8724
-0.6308 -1.5822 2.8554
4.5407 2.8465 2.5803
Ag Tl Cu
1 1 2
Direct
0.5000 0.5000 0.5000
0.5000 0.5000 0.0000
0.0000 0.0000 0.7210
0.0000 0.0000 0.2790
```

Entry 3:
A PBEsol-optimized structure of SrBi2P2. Source: Alexandria via LeMat-Bulk, functional SCAN.

Summary:
ΔH_f (0 K) = -254 meV/atom
Space-group type = I4/mmm, No. 139
M_tot = 0.000 Bohr magnetons per cell

Structure (POSCAR):
```
SrBi2P2
1.0
4.4580 0.0000 0.0000
0.0000 4.4580 0.0000
-2.2290 -2.2290 6.7328
P Bi Sr
2 2 1
Direct
0.5795 0.5795 0.1591
0.4205 0.4205 0.8409
0.2500 0.7500 0.5000
0.7500 0.2500 0.5000
0.0000 0.0000 0.0000
```

Entry 4:
A PBEsol-optimized structure of BaAlPt2. Source: Alexandria via LeMat-Bulk, functional SCAN.

Summary:
ΔH_f (0 K) = -254 meV/atom
Space-group type = P4/mmm, No. 123
M_tot = 0.000 Bohr magnetons per cell

Structure (POSCAR):
```
BaAlPt2
1.0
3.0656 0.0000 0.0000
0.0000 5.1480 0.0000
0.0000 0.0000 5.1480
Pt Al Ba
2 1 1
Direct
0.0000 0.5000 0.0000
0.0000 0.0000 0.5000
0.5000 0.5000 0.5000
0.5000 0.0000 0.0000
```

Entry 5:
A PBEsol-optimized structure of ScGaS2. Source: Alexandria via LeMat-Bulk, functional SCAN.

Summary:
Space-group type = I-42d, No. 122
M_tot = 0.000 Bohr magnetons per cell
Formation energy without anion corrections = -434 kJ/mol of formula units

Structure (POSCAR):
```
ScGaS2
1.0
-3.8194 2.5637 5.1443
5.9116 -1.6955 0.6052
5.1080 4.3460 1.6266
S Ga Sc
4 2 2
Direct
0.3750 0.2500 0.1647
0.1647 0.7500 0.8750
0.5853 0.7500 0.3750
0.8750 0.2500 0.5853
0.0000 0.0000 0.0000
0.7500 0.5000 0.7500
0.5000 0.0000 0.5000
0.2500 0.5000 0.2500
```

Entry 6:
A PBEsol-optimized structure of Ba2CuHg. Source: Alexandria via LeMat-Bulk, functional SCAN.

Summary:
ΔH_f (0 K) = -180 meV/atom
Space-group type = C2/m, No. 12
M_tot = 0.000 Bohr magnetons per cell

Structure (POSCAR):
```
Ba2CuHg
1.0
-0.9269 4.5154 0.2783
-3.3666 -3.0942 0.6757
4.2438 0.4203 7.3153
Ba Hg Cu
2 1 1
Direct
0.7415 0.4830 0.7252
0.2585 0.5170 0.2748
0.5000 0.0000 0.0000
0.0000 0.0000 0.5000
```

Entry 7:
A PBEsol-optimized structure of BeFeIr2. Source: Alexandria via LeMat-Bulk, functional SCAN.

Summary:
ΔH_f (0 K) = 4 meV/atom
Space-group type = F-43m, No. 216
M_tot = 3.231 Bohr magnetons per cell

Structure (POSCAR):
```
BeFeIr2
1.0
4.1316 0.0000 0.0000
2.0658 3.5781 0.0000
2.0658 1.1927 3.3734
Fe Be Ir
1 1 2
Direct
0.2500 0.2500 0.2500
0.5000 0.5000 0.5000
0.0000 0.0000 0.0000
0.7500 0.7500 0.7500
```

Entry 8:
A PBEsol-optimized structure of KGdPdO3. Source: Alexandria via LeMat-Bulk, functional SCAN.

Summary:
Space-group type = C2/m, No. 12
M_tot = 13.994 Bohr magnetons per cell
Formation energy without anion corrections = -1270 kJ/mol of formula units

Structure (POSCAR):
```
KGdPdO3
1.0
3.8778 0.0000 0.0000
-1.9389 6.4734 0.0014
0.0000 -1.8384 7.0935
Gd O K Pd
2 6 2 2
Direct
0.3498 0.6996 0.9230
0.6502 0.3004 0.0770
0.1531 0.3063 0.2729
0.8469 0.6937 0.7271
0.5064 0.0128 0.8136
0.8295 0.6590 0.1327
0.1705 0.3410 0.8673
0.4936 0.9872 0.1864
0.6437 0.2874 0.5639
0.3563 0.7126 0.4361
0.9928 0.9855 0.2231
0.0072 0.0145 0.7769
```